Computed, not measured: crystalline La2TbHoEr4 at its relaxed geometry at the GGA-PBE level of DFT.

a b c (Å): 7.201 9.982 7.215
angles (deg): 90.00 90.07 90.00
Atoms (fractional coordinates):
La  0.000  0.000  0.000
La  0.000  0.500  0.500
La  0.499  0.000  0.499
La  0.999  0.000  0.500
Tb  0.500  0.000  0.000
Tb  0.500  0.500  0.500
Ho  0.499  0.500  0.000
Ho  0.999  0.500  0.000
Er  0.253  0.254  0.246
Er  0.253  0.254  0.753
Er  0.253  0.746  0.246
Er  0.253  0.746  0.753
Er  0.746  0.254  0.246
Er  0.746  0.746  0.246
Er  0.747  0.254  0.753
Er  0.747  0.746  0.753

Results
Calculated total energy   -0.170 hartree per atom
Volume   519 Å³/cell
Energy of formation from the pure elements   0.03 eV/atom